PuMnTlO6: relaxed, GGA+U.

Output
- VASP energy: -7.67 eV per atom
- Density: 8.1 g cm⁻³

Cell and atoms, written as CIF:
```
data_PuMnTlO6
_chemical_formula_sum 'Pu2 Mn2 Tl2 O12'
_cell_length_a 5.4214
_cell_length_b 5.4214
_cell_length_c 9.6837
_cell_angle_alpha 90.00
_cell_angle_beta 90.00
_cell_angle_gamma 120.00
_symmetry_space_group_name_H-M 'P -3 1 c'
_symmetry_Int_Tables_number 163
_symmetry_space_group_name_Hall '-P 3 2c'
loop_
_atom_site_label
_atom_site_type_symbol
_atom_site_fract_x
_atom_site_fract_y
_atom_site_fract_z
Pu1 Pu 0.3333 0.6667 0.2500
Mn1 Mn 0.3333 0.6667 0.7500
Tl1 Tl 0.0000 0.0000 0.0000
O1 O 0.0045 0.3566 0.1370
```